Sc4SiMo after structural relaxation, computed with PBE.

abc: 5.5184 5.5184 5.5184
angles: 60.00 60.00 60.00
Last column: nearest neighbours and their distance in Å.
Atoms (fractional coordinates):
Sc: 0.3733 0.8800 0.3733  6 Sc 2.72-2.80
Sc: 0.3733 0.3733 0.3733  6 Sc 2.72-2.80
Sc: 0.3733 0.3733 0.8800  6 Sc 2.72-2.80
Sc: 0.8800 0.3733 0.3733  6 Sc 2.72-2.80
Mo: 0.0000 0.0000 0.0000  12 Sc 3.23, 4 Si 3.38
Si: 0.7500 0.7500 0.7500  12 Sc 3.24, 4 Mo 3.38

## Properties
* E_form (uncorrected): 520 meV/atom
* D(E_F): 7.8 states/eV/cell
* E_tot: -6.410 eV/atom


TeBrF after structural relaxation, computed with PBE.

abc: 7.7748 3.5610 6.1542
angles: 90.00 106.36 90.00
Last column: nearest neighbours and their distance in Å.
Atoms (fractional coordinates):
Te: 0.1359 0.0000 0.8484  1 F 2.01
Te: 0.1359 0.5000 0.3484  1 F 2.01
F: 0.8665 0.0000 0.7514  1 Te 2.01
F: 0.8665 0.5000 0.2514  1 Te 2.01
Br: 0.4793 0.5000 0.4710  1 Te 2.56
Br: 0.4793 0.0000 0.9710  1 Te 2.56

## Properties
* E_form (uncorrected): -713 meV/atom
* E above lowest polymorph: 232 meV per atom
* D(E_F): 1.5 states/eV/cell
* E_tot: -2.941 eV/atom


LaPmHo3Tm after structural relaxation, computed with PBE.

abc: 5.6468 10.2226 7.1154
angles: 90.70 90.00 106.03
Last column: nearest neighbours and their distance in Å.
Atoms (fractional coordinates):
Ho: 0.1648 0.3296 0.7258  2 Tm 3.42, 2 La 3.58, 3 Ho 3.61-3.62
Ho: 0.5234 0.0468 0.7326  1 La 3.17, 2 Pm 3.19, 1 Tm 3.19, 1 Ho 3.42
Ho: 0.8352 0.6704 0.2742  2 Tm 3.42, 2 La 3.58, 3 Ho 3.61-3.62
Ho: 0.7797 0.5593 0.7558  3 Tm 3.28-3.49, 3 La 3.31-3.52, 1 Pm 3.32, 3 Ho 3.61-3.62
Ho: 0.4766 0.9532 0.2674  1 La 3.17, 2 Pm 3.19, 1 Tm 3.19, 1 Ho 3.42
Ho: 0.2203 0.4407 0.2442  3 Tm 3.28-3.49, 3 La 3.31-3.52, 1 Pm 3.32, 3 Ho 3.61-3.62
La: 0.3549 0.7099 0.9698  1 Tm 3.05, 2 Ho 3.17-3.31
La: 0.6451 0.2901 0.0302  1 Tm 3.05, 2 Ho 3.17-3.31
Pm: 0.0517 0.1034 0.2711  3 Ho 3.19-3.32
Pm: 0.9483 0.8966 0.7289  3 Ho 3.19-3.32
Tm: 0.6507 0.3015 0.4580  1 La 3.05, 2 Ho 3.19-3.28
Tm: 0.3493 0.6985 0.5420  1 La 3.05, 2 Ho 3.19-3.28

## Properties
* D(E_F): 20.5 states/eV/cell
* E_tot: -4.449 eV/atom
* energy of formation: 0.20 eV per atom


Sc2MnPb after structural relaxation, computed with PBE.

abc: 7.6676 7.6676 6.2199
angles: 51.95 51.95 90.00
Last column: nearest neighbours and their distance in Å.
Atoms (fractional coordinates):
Sc: 0.1590 0.6250 0.2500  2 Mn 2.65
Sc: 0.3750 0.4090 0.7500  2 Mn 2.65
Sc: 0.5910 0.1250 0.2500  2 Mn 2.65
Sc: 0.8750 0.8410 0.7500  2 Mn 2.65
Pb: 0.7500 0.2500 0.5000  4 Sc 3.00, 2 Mn 3.05
Pb: 0.0000 0.0000 0.0000  4 Sc 3.00, 2 Mn 3.05
Mn: 0.2500 0.7500 0.5000  4 Sc 2.65
Mn: 0.5000 0.5000 0.0000  4 Sc 2.65

## Properties
* D(E_F): 9.6 states/eV/cell
* E_tot: -6.125 eV/atom
* energy of formation: 0.26 eV per atom


FeTc2MoAu after structural relaxation, computed with PBE.

abc: 4.7473 4.4541 4.7473
angles: 90.00 90.00 90.00
Last column: nearest neighbours and their distance in Å.
Atoms (fractional coordinates):
Tc: 0.5000 0.0000 0.0000  2 Au 2.37
Tc: 0.0000 0.0000 0.5000  2 Au 2.37
Fe: 0.0000 0.5000 0.0000  2 Au 2.23
Mo: 0.5000 0.5000 0.5000  8 Tc 3.25, 4 Fe 3.36
Au: 0.0000 0.0000 0.0000  2 Fe 2.23, 4 Tc 2.37

## Properties
* D(E_F): 12.5 states/eV/cell
* E_tot: -6.092 eV/atom
* energy of formation: 2.57 eV per atom


K3SrS8 after structural relaxation, computed with PBE.

abc: 8.5739 7.9766 7.0494
angles: 69.46 80.25 117.56
Last column: nearest neighbours and their distance in Å.
Atoms (fractional coordinates):
S: 0.6410 0.6365 0.2851  1 S 2.04
S: 0.8902 0.0000 0.6618  1 S 2.00
S: 0.0045 0.3635 0.9216  1 S 2.04
S: 0.3840 0.0000 0.0961  1 S 2.12
S: 0.7186 0.0000 0.8926  1 S 2.00
S: 0.7939 0.5349 0.1661  1 S 2.04
S: 0.2108 0.0000 0.3489  1 S 2.12
S: 0.2590 0.4651 0.7010  1 S 2.04
Sr: 0.0596 0.0000 0.0140  8 S 2.88-3.18
K: 0.5512 0.0000 0.4601  5 S 3.14-3.44
K: 0.7494 0.5114 0.7207  6 S 3.23-3.57
K: 0.2380 0.4886 0.2321  6 S 3.23-3.57

## Properties
* E_form (uncorrected): -735 meV/atom
* D(E_F): 4.6 states/eV/cell
* E_tot: -3.901 eV/atom


CuSbOsF after structural relaxation, computed with PBE.

abc: 4.5738 2.8845 4.5945
angles: 90.00 90.00 90.00
Last column: nearest neighbours and their distance in Å.
Atoms (fractional coordinates):
Sb: 0.0000 0.5000 0.3199  2 F 2.20-2.40
Os: 0.5000 0.0000 0.3316  4 Cu 2.70-2.73, 4 Sb 2.70, 2 Os 2.88
F: 0.0000 0.5000 0.8416  2 Sb 2.20-2.40, 2 Cu 2.29
Cu: 0.5000 0.5000 0.8274  2 F 2.29

## Properties
* E_form (uncorrected): -194 meV/atom
* E above lowest polymorph: 16 meV per atom
* D(E_F): 1.4 states/eV/cell
* E_tot: -5.524 eV/atom


Zr3TaSi after structural relaxation, computed with PBE.

abc: 4.9056 4.9056 4.9056
angles: 90.00 90.00 90.00
Last column: nearest neighbours and their distance in Å.
Atoms (fractional coordinates):
Zr: 0.5000 0.0000 0.0000  2 Si 2.45
Zr: 0.0000 0.0000 0.5000  2 Si 2.45
Zr: 0.0000 0.5000 0.0000  2 Si 2.45
Si: 0.0000 0.0000 0.0000  6 Zr 2.45
Ta: 0.5000 0.5000 0.5000  12 Zr 3.47

## Properties
* E_form (uncorrected): 472 meV/atom
* E above lowest polymorph: 0 meV per atom
* D(E_F): 6.9 states/eV/cell
* E_tot: -8.112 eV/atom